1:
The following is a PBE calculation of a relaxed structure of TaMoRh, from the Alexandria database.

The structure belongs to space group Fmm2 (No. 42); the cell edges are 3.731, 4.149 and 12.418 Å and the angles 90.00°, 90.00° and 90.00°. The inequivalent atoms are Ta at (0.000, 0.000, 0.000), Mo at (0.000, 0.000, 0.320) and Rh at (0.000, 0.000, 0.664).

---

2:
The following is a PBE calculation of a relaxed structure of TaMoRh, from the Alexandria database.

The structure belongs to space group P3m1 (No. 156); the cell edges are 4.4971, 4.4971 and 2.7649 Å and the angles 90.00°, 90.00° and 120.00°. The inequivalent atoms are Ta at (0.0000, 0.0000, 0.0000), Mo at (0.6667, 0.3333, 0.3042) and Rh at (0.3333, 0.6667, 0.6949).

---

It is 1 that is most stable; the runner-up trails by 18.4 kJ/mol of atoms.

---

1:
The following is a PBE calculation of a relaxed structure of TaMoRh, from the Alexandria database.

The structure belongs to space group P4/nmm (No. 129, origin choice 2); the cell edges are 4.202, 4.202 and 6.421 Å and the angles 90.00°, 90.00° and 90.00°. The inequivalent atoms are Ta at (0.250, 0.250, 0.228), Mo at (0.250, 0.750, 0.500) and Rh at (0.250, 0.750, 0.000).

---

2:
The following is a PBE calculation of a relaxed structure of TaMoRh, from the Alexandria database.

The structure belongs to space group I4mm (No. 107); the cell edges are 2.792, 2.792 and 12.323 Å and the angles 90.00°, 90.00° and 90.00°. The inequivalent atoms are Ta at (0.000, 0.000, 0.000), Mo at (0.000, 0.000, 0.318) and Rh at (0.000, 0.000, 0.665).

---

It is 2 that is most stable; the runner-up trails by 60.5 kJ/mol of atoms.